#w
Material: TaTe2W
Method: DFT, PBE
State: optimized geometry

Crystal system: trigonal
Total moment: 0.000 μB/cell
Space group: No. 166

Lattice parameters (Å, degrees): 9.652 9.652 9.652 19.58 19.58 19.58
Positions (direct):
Te1 0.097 0.097 0.097
Te2 0.903 0.903 0.903
W1 0.500 0.500 0.500
Ta1 0.000 0.000 0.000

***

#x
Material: TaTe2W
Method: DFT, PBE
State: optimized geometry

Crystal system: monoclinic
Total moment: 0.000 μB/cell
Space group: No. 10

Lattice parameters (Å, degrees): 4.633 3.642 5.055 83.53 90.00 90.00
Positions (direct):
W1 0.500 0.250 0.250
Ta1 0.500 0.750 0.750
Te1 0.000 0.491 0.497
Te2 0.000 0.009 0.003

***

It turns out #w is the most stable, with the second structure 23.7 kJ/mol of atoms higher.

***

#w
Material: TaTe2W
Method: DFT, PBE
State: optimized geometry

Crystal system: cubic
Total moment: 0.000 μB/cell
Space group: No. 216

Lattice parameters (Å, degrees): 4.903 4.903 4.903 60.00 60.00 60.00
Positions (direct):
Te1 0.250 0.250 0.250
Te2 0.000 0.000 0.000
Ta1 0.500 0.500 0.500
W1 0.750 0.750 0.750

***

#x
Material: TaTe2W
Method: DFT, PBE
State: optimized geometry

Crystal system: tetragonal
Total moment: 0.000 μB/cell
Space group: No. 123

Lattice parameters (Å, degrees): 3.374 3.374 6.766 90.00 90.00 90.00
Positions (direct):
W1 0.500 0.500 0.250
Ta1 0.500 0.500 0.750
Te1 0.000 0.000 0.498
Te2 0.000 0.000 0.002

***

#y
Material: TaTe2W
Method: DFT, PBE
State: optimized geometry

Crystal system: trigonal
Total moment: 0.000 μB/cell
Space group: No. 160

Lattice parameters (Å, degrees): 10.116 10.116 10.116 19.45 19.45 19.45
Positions (direct):
W1 0.491 0.491 0.491
Ta1 0.760 0.760 0.760
Te1 0.224 0.224 0.224
Te2 0.025 0.025 0.025

***

#z
Material: TaTe2W
Method: DFT, PBE
State: optimized geometry

Crystal system: monoclinic
Total moment: 0.000 μB/cell
Space group: No. 8

Lattice parameters (Å, degrees): 5.246 5.246 5.475 67.59 67.59 37.22
Positions (direct):
Te1 0.777 0.777 0.695
Te2 0.978 0.978 0.039
W1 0.526 0.526 0.581
Ta1 0.218 0.218 0.184

***

It turns out #y is the most stable, with the second structure 26.2 kJ/mol of atoms higher.